10
Lattice="6.660 0.000 0.000 -3.330 5.767 0.000 0.000 0.000 6.084" Properties=species:S:1:pos:R:3 comment="Rb2PmTeO6 PBE relaxed" sg="P-3m1, No. 164" mass_density_g_cm3=3.83 raw_formation_energy_kj_per_mol_fu=-1602.8 energy_ev_per_atom=-5.62 n_ef_per_ev_atom=0.15 pbc="T T T"
Rb 0.000 3.845 2.499
Rb 3.330 1.922 3.586
Pm 0.000 0.000 0.000
Te 0.000 0.000 3.042
O 0.000 1.547 4.249
O -1.990 4.994 4.249
O 1.340 0.774 1.836
O 1.990 4.994 4.249
O 5.320 0.774 1.836
O 3.330 4.220 1.836

10
Lattice="2.994 0.000 0.000 -1.497 2.592 0.000 0.000 0.000 17.645" Properties=species:S:1:pos:R:3 comment="MgHPd3 PBE relaxed" sg="P6_3/mmc, No. 194" mass_density_g_cm3=8.36 energy_ev_per_atom=-4.34 de_polymorph_mev_per_atom=233 n_ef_per_ev_atom=0.34 pbc="T T T"
Mg 0.000 0.000 0.000
Mg 0.000 0.000 8.823
H 0.000 1.728 4.411
H 1.497 0.864 13.234
Pd 0.000 0.000 4.411
Pd 0.000 0.000 13.234
Pd 0.000 1.728 2.059
Pd 0.000 1.728 6.764
Pd 1.497 0.864 10.881
Pd 1.497 0.864 15.587

4
Lattice="0.000 3.489 3.489 3.489 0.000 3.489 3.489 3.489 0.000" Properties=species:S:1:pos:R:3 comment="CaP PBE relaxed" sg="Fd-3m, No. 227" mass_density_g_cm3=2.78 energy_ev_per_atom=-3.82 n_ef_per_ev_atom=0.86 pbc="T T T"
Ca 0.872 0.872 0.872
Ca 6.107 6.107 6.107
P 2.617 2.617 2.617
P 4.362 4.362 4.362

10
Lattice="10.560 0.000 0.000 0.000 10.560 0.000 0.000 0.000 3.629" Properties=species:S:1:pos:R:3 comment="K2Li2La PBE relaxed" sg="P4/mbm, No. 127" mass_density_g_cm3=1.90 energy_ev_per_atom=-1.82 n_ef_per_ev_atom=0.89 pbc="T T T"
K 1.459 3.821 0.000
K 3.821 9.100 0.000
K 6.739 1.459 0.000
K 9.100 6.739 0.000
Li 1.767 7.047 1.815
Li 3.513 1.767 1.815
Li 7.047 8.793 1.815
Li 8.793 3.513 1.815
La 0.000 0.000 1.815
La 5.280 5.280 1.815

12
Lattice="9.090 -2.060 0.000 9.090 2.060 0.000 -2.022 0.000 8.137" Properties=species:S:1:pos:R:3 comment="Nd3Ho2PuSe6 PBE relaxed" sg="C2/m, No. 12" mass_density_g_cm3=8.07 raw_formation_energy_kj_per_mol_fu=-2047.7 energy_ev_per_atom=-6.66 n_ef_per_ev_atom=0.77 pbc="T T T"
Nd 0.000 0.000 0.000
Nd 4.751 0.000 5.415
Nd 11.407 0.000 2.722
Ho 5.763 0.000 1.397
Ho 10.395 0.000 6.741
Pu -1.011 0.000 4.069
Se 1.820 0.000 4.828
Se 2.965 0.000 0.605
Se 8.515 0.000 2.063
Se 7.643 0.000 6.074
Se 13.193 0.000 7.532
Se 14.338 0.000 3.309

4
Lattice="2.723 0.000 0.000 0.000 5.232 0.000 0.000 0.000 5.429" Properties=species:S:1:pos:R:3 comment="KZn2Co PBE relaxed" sg="Pmmm, No. 47" mass_density_g_cm3=4.91 energy_ev_per_atom=-1.93 de_polymorph_mev_per_atom=479 n_ef_per_ev_atom=0.94 pbc="T T T"
K 0.000 0.000 0.000
Zn 0.000 2.616 2.715
Zn 1.362 2.616 0.000
Co 1.362 0.000 2.715

5
Lattice="5.132 0.000 0.000 0.000 5.132 0.000 0.000 0.000 5.132" Properties=species:S:1:pos:R:3 comment="Sm3ThF PBE relaxed" sg="Pm-3m, No. 221" mass_density_g_cm3=8.63 raw_formation_energy_kj_per_mol_fu=-442.4 energy_ev_per_atom=-5.61 n_ef_per_ev_atom=0.96 pbc="T T T"
Sm 0.000 0.000 2.566
Sm 0.000 2.566 0.000
Sm 2.566 0.000 0.000
Th 2.566 2.566 2.566
F 0.000 0.000 0.000

7
Lattice="5.913 -1.726 0.000 5.913 1.726 0.000 -2.326 0.000 5.074" Properties=species:S:1:pos:R:3 comment="Ce2Os2C3 PBE relaxed" sg="C2/m, No. 12" mass_density_g_cm3=11.17 energy_ev_per_atom=-9.03 n_ef_per_ev_atom=1.02 pbc="T T T"
Ce 0.539 0.000 1.524
Ce 8.961 0.000 3.550
Os 3.632 0.000 0.917
Os 5.868 0.000 4.157
C 1.082 0.000 3.888
C 4.750 0.000 2.537
C 8.418 0.000 1.186

4
Lattice="-2.278 2.465 3.449 2.278 -2.465 3.449 2.278 2.465 -3.449" Properties=species:S:1:pos:R:3 comment="CaCdMo2 PBE relaxed" sg="Imm2, No. 44" mass_density_g_cm3=7.38 energy_ev_per_atom=-5.56 n_ef_per_ev_atom=1.07 pbc="T T T"
Ca 0.000 0.000 0.000
Cd 2.278 0.000 1.790
Mo 0.000 0.000 3.608
Mo 0.000 2.465 1.675

18
Lattice="4.882 -5.809 0.000 4.882 5.809 0.000 -0.752 0.000 5.325" Properties=species:S:1:pos:R:3 comment="ScAg2Pd6 PBE relaxed" sg="C2/c, No. 15" mass_density_g_cm3=9.89 energy_ev_per_atom=-5.05 n_ef_per_ev_atom=0.55 pbc="T T T"
Sc 4.318 4.719 3.994
Sc 4.694 -4.719 1.331
Ag 3.114 0.165 3.236
Ag 3.490 -0.165 0.574
Ag 5.522 0.165 4.751
Ag 5.898 -0.165 2.088
Pd 0.789 1.196 4.223
Pd 2.178 2.178 1.496
Pd 1.166 -1.196 1.561
Pd 3.917 2.386 5.311
Pd 4.719 2.386 2.676
Pd 1.802 -2.178 4.159
Pd 7.210 2.178 1.166
Pd 4.293 -2.386 2.649
Pd 5.095 -2.386 0.014
Pd 7.846 1.196 3.764
Pd 6.834 -2.178 3.829
Pd 8.222 -1.196 1.102

24
Lattice="6.317 -9.355 0.000 6.317 9.355 0.000 0.000 0.000 2.770" Properties=species:S:1:pos:R:3 comment="Zn11Cu9Pd4 PBE relaxed" sg="Cmmm, No. 65" mass_density_g_cm3=8.71 energy_ev_per_atom=-3.17 n_ef_per_ev_atom=0.40 pbc="T T T"
Zn 0.000 0.000 0.000
Zn 2.814 3.403 0.000
Zn 6.317 5.819 0.000
Zn 2.640 0.000 0.000
Zn 6.317 2.312 0.000
Zn 2.814 -3.403 0.000
Zn 9.821 3.403 0.000
Zn 6.317 -2.312 0.000
Zn 9.994 0.000 0.000
Zn 6.317 -5.819 0.000
Zn 9.821 -3.403 0.000
Cu 1.319 1.774 1.385
Cu 4.944 4.150 1.385
Cu 1.319 -1.774 1.385
Cu 7.691 4.150 1.385
Cu 6.317 0.000 1.385
Cu 4.944 -4.150 1.385
Cu 11.316 1.774 1.385
Cu 7.691 -4.150 1.385
Cu 11.316 -1.774 1.385
Pd 4.175 1.569 1.385
Pd 4.175 -1.569 1.385
Pd 8.460 1.569 1.385
Pd 8.460 -1.569 1.385

20
Lattice="7.489 -4.287 0.000 7.489 4.287 0.000 -4.680 0.000 13.913" Properties=species:S:1:pos:R:3 comment="Ba3CdPt PBE relaxed" sg="C2/c, No. 15" mass_density_g_cm3=5.35 energy_ev_per_atom=-3.00 de_polymorph_mev_per_atom=1 n_ef_per_ev_atom=0.70 pbc="T T T"
Ba -1.667 0.370 11.480
Ba 2.058 2.175 12.925
Ba 0.673 -0.370 4.523
Ba 2.069 0.377 8.797
Ba 5.900 2.175 7.945
Ba 4.409 -0.377 1.841
Ba 5.889 0.377 12.072
Ba 4.398 -2.175 5.968
Ba 8.229 -0.377 5.116
Ba 9.624 0.370 9.390
Ba 8.240 -2.175 0.988
Ba 11.964 -0.370 2.433
Cd 3.728 1.532 5.126
Cd 8.910 1.532 1.830
Cd 1.388 -1.532 12.083
Cd 6.570 -1.532 8.787
Pt 3.744 2.143 0.000
Pt 3.979 2.322 10.435
Pt 1.405 -2.143 6.957
Pt 6.319 -2.322 3.478

18
Lattice="7.524 0.000 0.000 -3.762 6.516 0.000 0.000 0.000 14.632" Properties=species:S:1:pos:R:3 comment="KPuUBr6 PBE relaxed" sg="P-31c, No. 163" mass_density_g_cm3=4.63 raw_formation_energy_kj_per_mol_fu=-1253.9 energy_ev_per_atom=-5.53 n_ef_per_ev_atom=1.60 pbc="T T T"
K 0.000 0.000 0.000
K 0.000 0.000 7.316
Pu 0.000 4.344 3.658
Pu 3.762 2.172 10.974
U 0.000 4.344 10.974
U 3.762 2.172 3.658
Br -1.351 2.390 9.273
Br -2.368 4.151 12.675
Br 1.351 2.390 12.675
Br -1.017 6.491 9.273
Br 2.745 0.025 1.957
Br 1.394 2.365 5.359
Br 2.368 4.151 9.273
Br 1.017 6.491 12.675
Br 4.779 0.025 5.359
Br 2.411 4.126 1.957
Br 6.130 2.365 1.957
Br 5.113 4.126 5.359

4
Lattice="0.000 3.457 3.457 3.457 0.000 3.457 3.457 3.457 0.000" Properties=species:S:1:pos:R:3 comment="PmTmCuRu PBE relaxed" sg="F-43m, No. 216" mass_density_g_cm3=9.62 energy_ev_per_atom=-5.93 de_polymorph_mev_per_atom=25 n_ef_per_ev_atom=0.85 pbc="T T T"
Pm 0.000 0.000 0.000
Tm 3.457 3.457 3.457
Cu 1.728 1.728 1.728
Ru 5.185 5.185 5.185

11
Lattice="2.788 1.610 12.564 -2.788 1.610 12.564 0.000 -3.220 12.564" Properties=species:S:1:pos:R:3 comment="Er8Tm3 PBE relaxed" sg="R-3m, No. 166" mass_density_g_cm3=9.05 energy_ev_per_atom=-4.40 de_polymorph_mev_per_atom=0 n_ef_per_ev_atom=2.49 pbc="T T T"
Er 0.000 0.000 1.711
Er 0.000 0.000 5.135
Er 0.000 0.000 11.972
Er 0.000 0.000 15.424
Er 0.000 0.000 22.267
Er 0.000 0.000 25.719
Er 0.000 0.000 32.556
Er 0.000 0.000 35.980
Tm 0.000 0.000 8.549
Tm 0.000 0.000 18.846
Tm 0.000 0.000 29.142

4
Lattice="2.893 0.000 0.000 0.000 2.893 0.000 0.000 0.000 6.538" Properties=species:S:1:pos:R:3 comment="HfVCo2 PBE relaxed" sg="P4/mmm, No. 123" mass_density_g_cm3=10.54 energy_ev_per_atom=-8.52 de_polymorph_mev_per_atom=0 n_ef_per_ev_atom=1.09 pbc="T T T"
Hf 0.000 0.000 0.000
V 0.000 0.000 3.269
Co 1.447 1.447 1.932
Co 1.447 1.447 4.606

4
Lattice="1.919 -2.380 0.000 1.919 2.380 0.000 0.000 0.000 9.766" Properties=species:S:1:pos:R:3 comment="Cd2SbMo PBE relaxed" sg="Cmm2, No. 35" mass_density_g_cm3=8.24 raw_formation_energy_kj_per_mol_fu=132.7 energy_ev_per_atom=-3.85 n_ef_per_ev_atom=0.54 pbc="T T T"
Cd 0.000 0.000 0.000
Cd 1.919 0.000 2.496
Sb 1.919 0.000 6.648
Mo 0.000 0.000 4.661

12
Lattice="3.803 0.000 0.000 0.000 11.277 0.000 0.000 0.000 7.616" Properties=species:S:1:pos:R:3 comment="TlSb2S3 PBE relaxed" sg="Pmc2_1, No. 26" mass_density_g_cm3=5.53 raw_formation_energy_kj_per_mol_fu=-91.7 energy_ev_per_atom=-3.99 de_polymorph_mev_per_atom=47 n_ef_per_ev_atom=0.32 pbc="T T T"
Tl 0.000 1.554 0.000
Tl 0.000 9.722 3.808
Sb 0.000 2.084 3.681
Sb 0.000 9.193 7.489
Sb 1.902 5.585 7.061
Sb 1.902 5.692 3.253
S 0.000 4.373 5.696
S 0.000 6.904 1.888
S 1.902 0.936 5.051
S 1.902 3.554 2.035
S 1.902 7.722 5.843
S 1.902 10.341 1.243

5
Lattice="4.036 0.000 0.000 0.000 4.036 0.000 0.000 0.000 4.036" Properties=species:S:1:pos:R:3 comment="Be3SiRh PBE relaxed" sg="Pm-3m, No. 221" mass_density_g_cm3=3.99 raw_formation_energy_kj_per_mol_fu=388.0 energy_ev_per_atom=-3.99 de_polymorph_mev_per_atom=232 n_ef_per_ev_atom=0.31 pbc="T T T"
Be 0.000 0.000 2.018
Be 0.000 2.018 0.000
Be 2.018 0.000 0.000
Si 0.000 0.000 0.000
Rh 2.018 2.018 2.018

4
Lattice="2.848 0.000 0.000 0.000 2.848 0.000 0.000 0.000 7.309" Properties=species:S:1:pos:R:3 comment="FeRh2Cl PBE relaxed" sg="P4mm, No. 99" mass_density_g_cm3=8.32 raw_formation_energy_kj_per_mol_fu=100.2 energy_ev_per_atom=-5.99 n_ef_per_ev_atom=1.08 pbc="T T T"
Fe 0.000 0.000 0.000
Rh 0.000 0.000 3.511
Rh 1.424 1.424 1.722
Cl 1.424 1.424 5.663